Compound: Mn2NiSn
Source: Alexandria via LeMat-Bulk
Functional: SCAN
Structure: single point on PBEsol structure

Summary:
**V**: 13.085 Å³/atom
**ΔE_f**: -0.069 eV per atom

Unit cell a=5.9379 b=5.9379 c=5.9379 alpha=90.00 beta=90.00 gamma=90.00
Sites, in units of the cell vectors:
Mn  0.0000  0.0000  0.0000
Mn  0.0000  0.5000  0.5000
Mn  0.2500  0.2500  0.2500
Mn  0.2500  0.7500  0.7500
Mn  0.5000  0.0000  0.5000
Mn  0.5000  0.5000  0.0000
Mn  0.7500  0.2500  0.7500
Mn  0.7500  0.7500  0.2500
Ni  0.0000  0.0000  0.5000
Ni  0.0000  0.5000  0.0000
Ni  0.5000  0.0000  0.0000
Ni  0.5000  0.5000  0.5000
Sn  0.2500  0.2500  0.7500
Sn  0.2500  0.7500  0.2500
Sn  0.7500  0.2500  0.2500
Sn  0.7500  0.7500  0.7500

=====

Compound: In2Hg
Source: Alexandria via LeMat-Bulk
Functional: SCAN
Structure: single point on PBEsol structure

Summary:
**V**: 24.780 Å³/atom
**ΔE_f**: 0.027 eV per atom

Unit cell a=7.9026 b=7.9026 c=4.1237 alpha=90.00 beta=90.00 gamma=120.00
Sites, in units of the cell vectors:
In  0.0000  0.2681  0.0000
In  0.0000  0.6031  0.5000
In  0.2681  0.0000  0.0000
In  0.3969  0.3969  0.5000
In  0.6031  0.0000  0.5000
In  0.7319  0.7319  0.0000
Hg  0.0000  0.0000  0.5000
Hg  0.3333  0.6667  0.0000
Hg  0.6667  0.3333  0.0000

=====

Compound: Ba2ScTc
Source: Alexandria via LeMat-Bulk
Functional: SCAN
Structure: single point on PBEsol structure

Summary:
**V**: 27.050 Å³/atom
**ΔE_f**: 0.856 eV per atom

Unit cell a=5.3681 b=5.3681 c=7.5096 alpha=90.00 beta=90.00 gamma=90.00
Sites, in units of the cell vectors:
Ba  0.0000  0.0000  0.0000
Ba  0.0000  0.5000  0.2500
Ba  0.5000  0.0000  0.7500
Ba  0.5000  0.5000  0.5000
Sc  0.0000  0.0000  0.5000
Sc  0.5000  0.5000  0.0000
Tc  0.0000  0.5000  0.7500
Tc  0.5000  0.0000  0.2500

=====

Compound: MgTeAs2Se
Source: Alexandria via LeMat-Bulk
Functional: SCAN
Structure: single point on PBEsol structure

Summary:
**Formation energy (no corrections)**: 52.8 kJ per mole of atoms
**V**: 24.016 Å³/atom

Unit cell a=4.9884 b=4.9884 c=4.8255 alpha=90.00 beta=90.00 gamma=90.00
Sites, in units of the cell vectors:
Mg  0.0000  0.0000  0.0000
Te  0.5000  0.5000  0.5000
As  0.0000  0.5000  0.0000
As  0.5000  0.0000  0.0000
Se  0.0000  0.0000  0.5000

=====

Compound: Mg2InRh
Source: Alexandria via LeMat-Bulk
Functional: SCAN
Structure: single point on PBEsol structure

Summary:
**V**: 17.456 Å³/atom
**ΔE_f**: -0.390 eV per atom

Unit cell a=4.1021 b=4.1021 c=4.1495 alpha=90.00 beta=90.00 gamma=90.00
Sites, in units of the cell vectors:
Mg  0.0000  0.5000  0.0000
Mg  0.5000  0.0000  0.0000
In  0.0000  0.0000  0.5000
Rh  0.5000  0.5000  0.5000

=====

Compound: BeCu2
Source: Alexandria via LeMat-Bulk
Functional: SCAN
Structure: single point on PBEsol structure

Summary:
**V**: 10.076 Å³/atom
**ΔE_f**: -0.099 eV per atom

Unit cell a=5.2185 b=5.2185 c=4.4398 alpha=90.00 beta=90.00 gamma=90.00
Sites, in units of the cell vectors:
Be  0.0000  0.0000  0.2500
Be  0.0000  0.0000  0.7500
Be  0.5000  0.5000  0.2500
Be  0.5000  0.5000  0.7500
Cu  0.1625  0.3375  0.0000
Cu  0.1625  0.6625  0.5000
Cu  0.3375  0.1625  0.5000
Cu  0.3375  0.8375  0.0000
Cu  0.6625  0.1625  0.0000
Cu  0.6625  0.8375  0.5000
Cu  0.8375  0.3375  0.5000
Cu  0.8375  0.6625  0.0000

=====

Compound: HPdCl2
Source: Alexandria via LeMat-Bulk
Functional: SCAN
Structure: single point on PBEsol structure

Summary:
**V**: 14.510 Å³/atom
**Uncorrected energy**: -153.05 eV/cell

Unit cell a=3.1131 b=3.1131 c=20.7461 alpha=90.00 beta=90.00 gamma=120.00
Sites, in units of the cell vectors:
H  0.0000  0.0000  0.0000
H  0.3333  0.6667  0.6667
H  0.6667  0.3333  0.3333
Pd  0.0000  0.0000  0.5000
Pd  0.3333  0.6667  0.1667
Pd  0.6667  0.3333  0.8333
Cl  0.0000  0.0000  0.3923
Cl  0.0000  0.0000  0.6077
Cl  0.3333  0.6667  0.0590
Cl  0.3333  0.6667  0.2743
Cl  0.6667  0.3333  0.7257
Cl  0.6667  0.3333  0.9410

=====

Compound: BaSr2Ca
Source: Alexandria via LeMat-Bulk
Functional: SCAN
Structure: single point on PBEsol structure

Summary:
**V**: 50.585 Å³/atom
**ΔE_f**: 0.037 eV per atom

Unit cell a=13.7782 b=4.1375 c=7.2045 alpha=90.00 beta=99.83 gamma=90.00
Sites, in units of the cell vectors:
Ba  0.0000  0.0000  0.0000
Ba  0.5000  0.5000  0.0000
Sr  0.0061  0.5000  0.5088
Sr  0.2542  0.5000  0.2598
Sr  0.5061  0.0000  0.5088
Sr  0.7542  0.0000  0.2598
Ca  0.2513  0.0000  0.7534
Ca  0.7513  0.5000  0.7534

=====

Compound: Ni2HgH2
Source: Alexandria via LeMat-Bulk
Functional: SCAN
Structure: single point on PBEsol structure

Summary:
**V**: 9.142 Å³/atom
**Uncorrected energy**: -214.12 eV/cell

Unit cell a=3.0111 b=3.0111 c=10.0834 alpha=90.00 beta=90.00 gamma=90.00
Sites, in units of the cell vectors:
Ni  0.0000  0.0000  0.1722
Ni  0.0000  0.0000  0.8278
Ni  0.5000  0.5000  0.3278
Ni  0.5000  0.5000  0.6722
Hg  0.0000  0.0000  0.5000
Hg  0.5000  0.5000  0.0000
H  0.0000  0.5000  0.2500
H  0.0000  0.5000  0.7500
H  0.5000  0.0000  0.2500
H  0.5000  0.0000  0.7500

=====

Compound: CdSi2Tc
Source: Alexandria via LeMat-Bulk
Functional: SCAN
Structure: single point on PBEsol structure

Summary:
**Formation energy (no corrections)**: 40.4 kJ per mole of atoms
**V**: 15.705 Å³/atom

Unit cell a=3.1910 b=4.6444 c=8.4776 alpha=90.00 beta=90.00 gamma=90.00
Sites, in units of the cell vectors:
Cd  0.0000  0.0000  0.0000
Cd  0.5000  0.5000  0.0000
Si  0.0000  0.0000  0.4801
Si  0.0000  0.5000  0.7128
Si  0.5000  0.0000  0.7128
Si  0.5000  0.5000  0.4801
Tc  0.0000  0.5000  0.2757
Tc  0.5000  0.0000  0.2757

=====

Compound: CaTaIn2
Source: Alexandria via LeMat-Bulk
Functional: SCAN
Structure: single point on PBEsol structure

Summary:
**V**: 22.715 Å³/atom
**ΔE_f**: 0.547 eV per atom

Unit cell a=7.1364 b=7.1364 c=7.1364 alpha=90.00 beta=90.00 gamma=90.00
Sites, in units of the cell vectors:
Ca  0.0000  0.0000  0.0000
Ca  0.0000  0.5000  0.5000
Ca  0.5000  0.0000  0.5000
Ca  0.5000  0.5000  0.0000
Ta  0.2500  0.2500  0.7500
Ta  0.2500  0.7500  0.2500
Ta  0.7500  0.2500  0.2500
Ta  0.7500  0.7500  0.7500
In  0.0000  0.0000  0.5000
In  0.0000  0.5000  0.0000
In  0.2500  0.2500  0.2500
In  0.2500  0.7500  0.7500
In  0.5000  0.0000  0.0000
In  0.5000  0.5000  0.5000
In  0.7500  0.2500  0.7500
In  0.7500  0.7500  0.2500

=====

Compound: KNaSb2
Source: Alexandria via LeMat-Bulk
Functional: SCAN
Structure: single point on PBEsol structure

Summary:
**Formation energy (no corrections)**: -22.5 kJ per mole of atoms
**V**: 33.333 Å³/atom

Unit cell a=4.9239 b=4.9239 c=21.9973 alpha=90.00 beta=90.00 gamma=90.00
Sites, in units of the cell vectors:
K  0.0000  0.0000  0.0000
K  0.0000  0.5000  0.2500
K  0.5000  0.0000  0.7500
K  0.5000  0.5000  0.5000
Na  0.0000  0.0000  0.5000
Na  0.0000  0.5000  0.7500
Na  0.5000  0.0000  0.2500
Na  0.5000  0.5000  0.0000
Sb  0.1772  0.2500  0.6250
Sb  0.2500  0.6772  0.8750
Sb  0.2500  0.8228  0.3750
Sb  0.3228  0.2500  0.1250
Sb  0.6772  0.7500  0.1250
Sb  0.7500  0.1772  0.3750
Sb  0.7500  0.3228  0.8750
Sb  0.8228  0.7500  0.6250